Here is a geometry-optimized La2NdTmHg2 structure from Alexandria. Energies are from PBE-GGA.

a b c (Å): 5.1686 7.3680 9.6468
angles (deg): 90.00 90.00 90.00
Last column: nearest neighbours and their distance in Å.
Positions (direct):
Tm 0.5000 0.6720 0.3254  4 Hg 3.02-3.11
Tm 0.5000 0.1720 0.6746  4 Hg 3.02-3.11
Hg 0.0000 0.7660 0.1609  2 Tm 3.11, 4 La 3.16-3.34, 1 Nd 3.19
Hg 0.5000 0.7570 0.6321  2 Tm 3.02-3.09, 2 La 3.26, 2 Nd 3.31
Hg 0.5000 0.2570 0.3679  2 Tm 3.02-3.09, 2 La 3.26, 2 Nd 3.31
Hg 0.0000 0.2660 0.8391  2 Tm 3.11, 4 La 3.16-3.34, 1 Nd 3.19
La 0.0000 0.8368 0.8291  4 Hg 3.16-3.26
La 0.5000 0.0209 0.0589  3 Hg 3.34-3.45, 1 Tm 3.64, 4 La 3.64-3.67
La 0.0000 0.3368 0.1709  4 Hg 3.16-3.26
La 0.5000 0.5209 0.9411  3 Hg 3.34-3.45, 1 Tm 3.64, 4 La 3.64-3.67
Nd 0.0000 0.4930 0.5573  3 Hg 3.19-3.31
Nd 0.0000 0.9930 0.4427  3 Hg 3.19-3.31

- Crystal system: orthorhombic
- DFT formation energy: -0.3356 eV per atom

Here is a geometry-optimized Sr3Zn8Ga3 structure from Alexandria. Energies are from PBE-GGA.

a b c (Å): 4.5145 8.5370 8.5370
angles (deg): 70.29 74.67 74.67
Last column: nearest neighbours and their distance in Å.
Positions (direct):
Zn 0.3662 0.3550 0.9126  3 Zn 2.67-2.76, 3 Ga 2.80-2.87
Zn 0.8339 0.8057 0.5265  1 Ga 2.62, 4 Zn 2.67-2.76
Zn 0.8339 0.5265 0.8057  1 Ga 2.62, 4 Zn 2.67-2.76
Zn 0.6338 0.0874 0.6450  3 Zn 2.67-2.76, 3 Ga 2.80-2.87
Zn 0.1661 0.4735 0.1943  1 Ga 2.62, 4 Zn 2.67-2.76
Zn 0.6338 0.6450 0.0874  3 Zn 2.67-2.76, 3 Ga 2.80-2.87
Zn 0.3662 0.9126 0.3550  3 Zn 2.67-2.76, 3 Ga 2.80-2.87
Zn 0.1661 0.1943 0.4735  1 Ga 2.62, 4 Zn 2.67-2.76
Sr 0.8077 0.1923 0.1923  12 Zn 3.23-3.58, 4 Ga 3.30-3.40
Sr 0.1923 0.8077 0.8077  12 Zn 3.23-3.58, 4 Ga 3.30-3.40
Sr 0.5000 0.5000 0.5000  12 Zn 3.26-3.43, 4 Ga 3.61
Ga 0.0000 0.7862 0.2138  6 Zn 2.62-2.87
Ga 0.5000 0.0000 0.0000  4 Zn 2.80, 4 Ga 3.08
Ga 0.0000 0.2138 0.7862  6 Zn 2.62-2.87

- Crystal system: orthorhombic
- DFT formation energy: -0.2507 eV per atom
- Offset from the most stable computed form: 15 meV per atom

Here is a geometry-optimized CeSc3 structure from Alexandria. Energies are from PBE-GGA.

a b c (Å): 4.8700 4.8700 5.5270
angles (deg): 116.14 116.14 90.00
Last column: nearest neighbours and their distance in Å.
Positions (direct):
Sc 0.7500 0.2500 0.5000  4 Ce 3.26, 8 Sc 3.26-3.44
Sc 0.5000 0.5000 0.0000  8 Sc 3.26, 4 Ce 3.44
Sc 0.2500 0.7500 0.5000  4 Ce 3.26, 8 Sc 3.26-3.44
Ce 0.0000 0.0000 0.0000  12 Sc 3.26-3.44

- Crystal system: tetragonal
- DFT formation energy: 0.0826 eV per atom
- Offset from the most stable computed form: 22 meV per atom

Here is a geometry-optimized Si2SbOs structure from Alexandria. Energies are from PBE-GGA.

a b c (Å): 3.0219 3.0219 7.3988
angles (deg): 90.00 90.00 90.00
Last column: nearest neighbours and their distance in Å.
Positions (direct):
Os 0.5000 0.5000 0.2500  8 Si 2.58
Si 0.0000 0.0000 0.4445  4 Os 2.58, 1 Si 2.88
Si 0.0000 0.0000 0.0555  4 Os 2.58, 1 Si 2.88
Sb 0.5000 0.5000 0.7500  4 Sb 3.02, 8 Si 3.11

- Crystal system: tetragonal
- Uncorrected formation energy: 16 kJ/mol of atoms

Here is a geometry-optimized RbCd2CoGe structure from Alexandria. Energies are from PBE-GGA.

a b c (Å): 5.2053 4.5397 5.2053
angles (deg): 90.00 90.00 90.00
Last column: nearest neighbours and their distance in Å.
Positions (direct):
Cd 0.0000 0.0000 0.5000  2 Co 2.60
Cd 0.5000 0.0000 0.0000  2 Co 2.60
Ge 0.0000 0.5000 0.0000  2 Co 2.27
Rb 0.5000 0.5000 0.5000  8 Cd 3.45, 4 Ge 3.68
Co 0.0000 0.0000 0.0000  2 Ge 2.27

- Crystal system: tetragonal
- DFT formation energy: 0.0007 eV per atom

Here is a geometry-optimized YTeAs2 structure from Alexandria. Energies are from PBE-GGA.

a b c (Å): 6.0282 6.0282 6.0282
angles (deg): 138.98 138.98 59.41
Last column: nearest neighbours and their distance in Å.
Positions (direct):
As 0.2500 0.7500 0.5000  4 Y 2.99
As 0.0000 0.0000 0.0000  4 Te 2.99
Te 0.5000 0.5000 0.0000  4 As 2.99
Y 0.7500 0.2500 0.5000  4 As 2.99

- Crystal system: tetragonal
- Uncorrected formation energy: -48 kJ/mol of atoms

Here is a geometry-optimized Rb2ScAu2 structure from Alexandria. Energies are from PBE-GGA.

a b c (Å): 7.4062 7.4062 5.8367
angles (deg): 90.00 90.00 90.00
Last column: nearest neighbours and their distance in Å.
Positions (direct):
Au 0.6371 0.1371 0.0000  2 Sc 2.87, 1 Au 2.87
Au 0.8629 0.6371 0.0000  2 Sc 2.87, 1 Au 2.87
Au 0.3629 0.8629 0.0000  2 Sc 2.87, 1 Au 2.87
Au 0.1371 0.3629 0.0000  2 Sc 2.87, 1 Au 2.87
Rb 0.8294 0.3294 0.5000  6 Au 3.55-3.71, 5 Rb 3.57-3.89
Rb 0.1706 0.6706 0.5000  6 Au 3.55-3.71, 5 Rb 3.57-3.89
Rb 0.6706 0.8294 0.5000  6 Au 3.55-3.71, 5 Rb 3.57-3.89
Rb 0.3294 0.1706 0.5000  6 Au 3.55-3.71, 5 Rb 3.57-3.89
Sc 0.0000 0.0000 0.0000  4 Au 2.87
Sc 0.5000 0.5000 0.0000  4 Au 2.87

- Crystal system: tetragonal
- DFT formation energy: -0.0777 eV per atom
- Offset from the most stable computed form: 0 meV per atom

Here is a geometry-optimized BeGaSb2Se structure from Alexandria. Energies are from PBE-GGA.

a b c (Å): 5.0789 4.4708 5.0789
angles (deg): 90.00 90.00 90.00
Last column: nearest neighbours and their distance in Å.
Positions (direct):
Se 0.0000 0.5000 0.0000  2 Be 2.24
Sb 0.0000 0.0000 0.5000  2 Be 2.54
Sb 0.5000 0.0000 0.0000  2 Be 2.54
Ga 0.5000 0.5000 0.5000  8 Sb 3.38, 4 Se 3.59
Be 0.0000 0.0000 0.0000  2 Se 2.24

- Crystal system: tetragonal
- Uncorrected formation energy: 34 kJ/mol of atoms

Here is a geometry-optimized NaSrTiO4 structure from Alexandria. Energies are from PBE-GGA.

a b c (Å): 5.5193 5.5986 6.7934
angles (deg): 90.00 113.97 90.00
Last column: nearest neighbours and their distance in Å.
Positions (direct):
O 0.9095 0.2500 0.8189  1 Ti 1.89
O 0.4050 0.7500 0.8099  1 Ti 2.02
O 0.0905 0.7500 0.1811  1 Ti 1.89
O 0.5000 0.5000 0.5000  2 Ti 1.97
O 0.0000 0.5000 0.5000  2 Ti 1.97
O 0.5000 0.0000 0.5000  2 Ti 1.97
O 0.0000 0.0000 0.5000  2 Ti 1.97
O 0.5950 0.2500 0.1901  1 Ti 2.02
Sr 0.8936 0.7500 0.7871  5 O 2.45-2.65
Sr 0.1064 0.2500 0.2129  5 O 2.45-2.65
Na 0.6010 0.7500 0.2020  5 O 2.43-2.70
Na 0.3990 0.2500 0.7980  5 O 2.43-2.70
Ti 0.7576 0.2500 0.5151  6 O 1.89-2.02
Ti 0.2424 0.7500 0.4849  6 O 1.89-2.02

- Crystal system: orthorhombic
- Uncorrected formation energy: -235 kJ/mol of atoms

Here is a geometry-optimized Sc2TlCu structure from Alexandria. Energies are from PBE-GGA.

a b c (Å): 5.5714 5.5714 5.5714
angles (deg): 135.89 135.89 64.15
Last column: nearest neighbours and their distance in Å.
Positions (direct):
Sc 0.0000 0.0000 0.0000  4 Tl 2.96, 4 Sc 3.15, 4 Cu 3.15
Sc 0.2500 0.7500 0.5000  4 Cu 2.96, 4 Tl 3.15, 4 Sc 3.15
Cu 0.7500 0.2500 0.5000  8 Sc 2.96-3.15, 4 Tl 3.15
Tl 0.5000 0.5000 0.0000  8 Sc 2.96-3.15, 4 Cu 3.15

- Crystal system: tetragonal
- DFT formation energy: -0.0736 eV per atom

Here is a geometry-optimized KIn5Ag3 structure from Alexandria. Energies are from PBE-GGA.

a b c (Å): 4.5469 7.6434 14.7705
angles (deg): 90.00 90.00 107.30
Last column: nearest neighbours and their distance in Å.
Positions (direct):
In 0.1978 0.3955 0.9310  2 Ag 2.76-2.87, 1 In 3.06
In 0.0000 0.0000 0.5000  4 Ag 2.91, 2 In 3.06
In 0.5537 0.1075 0.8504  4 Ag 2.89-3.03, 1 In 2.97
In 0.4463 0.8925 0.1496  4 Ag 2.89-3.03, 1 In 2.97
In 0.8022 0.6045 0.4310  2 Ag 2.76-2.87, 1 In 3.06
In 0.1978 0.3955 0.5690  2 Ag 2.76-2.87, 1 In 3.06
In 0.4463 0.8925 0.3504  4 Ag 2.89-3.03, 1 In 2.97
In 0.0000 0.0000 0.0000  4 Ag 2.91, 2 In 3.06
In 0.8022 0.6045 0.0690  2 Ag 2.76-2.87, 1 In 3.06
In 0.5537 0.1075 0.6496  4 Ag 2.89-3.03, 1 In 2.97
K 0.8392 0.6784 0.7500  7 Ag 3.83-4.19, 8 In 4.07-4.14
K 0.1608 0.3216 0.2500  7 Ag 3.83-4.19, 8 In 4.07-4.14
Ag 0.6146 0.2293 0.4532  5 In 2.76-3.03
Ag 0.8738 0.7476 0.2500  6 In 2.87-2.91
Ag 0.3854 0.7707 0.5468  5 In 2.76-3.03
Ag 0.6146 0.2293 0.0468  5 In 2.76-3.03
Ag 0.3854 0.7707 0.9532  5 In 2.76-3.03
Ag 0.1262 0.2524 0.7500  6 In 2.87-2.91

- Crystal system: orthorhombic
- DFT formation energy: -0.0301 eV per atom

E_tot (eV/atom)
-3.619, -1.988, -6.150, -6.384, -2.903, -5.225, -3.042, -3.344, -6.828, -4.855, -2.624